No. 1
A relaxed Ti3VSi crystal. Source: Alexandria via LeMat-Bulk, functional PBE.

Summary:
Its formation energy from raw total energies is 0.684 eV per atom. The value obtained for the electronic total energy is -34.807 eV for the cell shown.

Cell lengths 4.4844, 4.4844, 4.4844 Å; angles 90.00, 90.00, 90.00 degrees
Last column: nearest neighbours and their distance in Å.
Space group Pm-3m (No. 221)
One atom of each set of equivalent atoms:
1 Ti 0.0000 0.0000 0.5000 x3  2 V 2.24
2 V 0.0000 0.0000 0.0000 x1  6 Ti 2.24
3 Si 0.5000 0.5000 0.5000 x1  12 Ti 3.17


No. 2
A relaxed KSi2P2 crystal. Source: Alexandria via LeMat-Bulk, functional PBE.

Summary:
Its formation energy from raw total energies is -0.027 eV per atom. The value obtained for the electronic total energy is -45.798 eV for the cell shown.

Cell lengths 4.6308, 4.6308, 8.7545 Å; angles 90.00, 90.00, 90.00 degrees
Last column: nearest neighbours and their distance in Å.
Space group I4/mmm (No. 139)
One atom of each set of equivalent atoms:
1 K 0.0000 0.0000 0.0000 x2  2 Si 3.04, 8 P 3.19
2 Si 0.0000 0.0000 0.3477 x4  4 P 2.47, 1 Si 2.67
3 P 0.0000 0.5000 0.2500 x4  4 Si 2.47


No. 3
A relaxed MgAl4Au crystal. Source: Alexandria via LeMat-Bulk, functional PBE.

Summary:
The formation energy comes out at 60 meV/atom. The value obtained for the electronic total energy is -77.938 eV for the cell shown.

Cell lengths 7.6024, 7.6024, 7.6024 Å; angles 90.00, 90.00, 90.00 degrees
Last column: nearest neighbours and their distance in Å.
Space group F-43m (No. 216)
One atom of each set of equivalent atoms:
1 Mg 0.0000 0.0000 0.0000 x4  12 Al 3.15, 4 Au 3.29
2 Al 0.1257 0.1257 0.6256 x16  6 Al 2.67-2.70
3 Au 0.2500 0.2500 0.2500 x4  12 Al 3.15, 4 Mg 3.29


No. 4
A relaxed PH6PbCCl3 crystal. Source: Alexandria via LeMat-Bulk, functional PBE.

Summary:
The value obtained for the electronic total energy is -200.007 eV for the cell shown.

Cell lengths 7.5649, 8.3723, 14.9455 Å; angles 84.96, 86.70, 81.23 degrees
Last column: nearest neighbours and their distance in Å.
Space group P1 (No. 1)
One atom of each set of equivalent atoms:
1 P 0.0000 0.0000 0.0000 x1  3 H 1.41-1.42
2 P 0.0257 0.4742 0.4782 x1  3 H 1.40-1.42
3 P 0.4319 0.4976 0.8324 x1  3 H 1.41
4 P 0.5453 0.9849 0.3105 x1  3 H 1.41-1.42
5 H 0.0356 0.5871 0.4024 x1  1 P 1.42
6 H 0.0713 0.8414 0.9791 x1  1 P 1.41
7 H 0.1040 0.2085 0.0737 x1  1 C 1.10
8 H 0.1336 0.0154 0.1388 x1  1 C 1.10
9 H 0.2020 0.4158 0.5043 x1  1 P 1.41
10 H 0.2544 0.5790 0.8389 x1  1 P 1.41
11 H 0.2820 0.0532 0.0429 x1  1 C 1.10
12 H 0.3772 0.9461 0.2921 x1  1 P 1.41
13 H 0.4272 0.3323 0.8598 x1  1 P 1.41
14 H 0.4507 0.1855 0.4144 x1  1 C 1.10
15 H 0.4828 0.5065 0.7403 x1  1 P 1.41
16 H 0.4880 0.9842 0.4697 x1  1 C 1.10
17 H 0.5481 0.7190 0.8859 x1  1 C 1.10
18 H 0.5576 0.5482 0.9680 x1  1 C 1.10
19 H 0.5977 0.0932 0.2391 x1  1 P 1.42
20 H 0.6660 0.8392 0.3119 x1  1 P 1.41
21 H 0.6745 0.0850 0.4326 x1  1 C 1.10
22 H 0.7174 0.5445 0.8739 x1  1 C 1.10
23 H 0.7607 0.6052 0.5520 x1  1 C 1.10
24 H 0.8315 0.9886 0.0438 x1  1 P 1.41
25 H 0.9024 0.4758 0.6293 x1  1 C 1.10
26 H 0.9532 0.3402 0.4542 x1  1 P 1.40
27 H 0.9595 0.6700 0.5872 x1  1 C 1.10
28 H 0.9684 0.0990 0.9190 x1  1 P 1.42
29 Pb 0.1789 0.0371 0.7037 x1  6 Cl 2.83-3.03
30 Pb 0.3862 0.5389 0.1977 x1  6 Cl 2.85-3.06
31 Pb 0.6805 0.0315 0.7060 x1  6 Cl 2.88-3.03
32 Pb 0.8870 0.5290 0.1921 x1  6 Cl 2.84-3.04
33 C 0.1444 0.0774 0.0712 x1  3 H 1.10
34 C 0.5384 0.0685 0.4172 x1  3 H 1.10
35 C 0.5789 0.5864 0.8966 x1  3 H 1.10
36 C 0.8996 0.5653 0.5707 x1  3 H 1.10
37 Cl 0.0772 0.7659 0.2660 x1  1 H 2.46
38 Cl 0.1771 0.5417 0.0449 x1  2 H 2.64-2.92, 1 Pb 2.85
39 Cl 0.1861 0.3030 0.2858 x1  2 Pb 2.85-3.04, 4 H 2.86-3.11
40 Cl 0.3958 0.0326 0.8570 x1  2 H 2.56-2.71
41 Cl 0.4040 0.2767 0.6288 x1  2 H 2.56-2.80
42 Cl 0.4587 0.8074 0.6383 x1  3 H 2.81-2.94, 2 Pb 2.83-2.97
43 Cl 0.6195 0.7837 0.1238 x1  2 H 2.68-2.94, 2 Pb 2.87-3.00
44 Cl 0.6501 0.5244 0.3467 x1  1 H 2.66, 1 Pb 2.84
45 Cl 0.6717 0.3058 0.1247 x1  1 H 2.46
46 Cl 0.8666 0.2629 0.7799 x1  2 H 2.48-2.77
47 Cl 0.9371 0.0491 0.5572 x1  2 H 2.77-2.78, 2 Pb 2.88-2.92
48 Cl 0.9736 0.8004 0.7893 x1  1 H 2.69, 2 Pb 2.87-2.97


No. 5
A relaxed SmInGe crystal. Source: Alexandria via LeMat-Bulk, functional PBE.

Summary:
The formation energy comes out at -534 meV/atom. The value obtained for the electronic total energy is -54.702 eV for the cell shown.

Cell lengths 4.4677, 16.7612, 4.0264 Å; angles 90.00, 90.00, 90.00 degrees
Last column: nearest neighbours and their distance in Å.
Space group Cmcm (No. 63)
One atom of each set of equivalent atoms:
1 Sm 0.0000 0.0897 0.2500 x4  6 Ge 3.06-3.29, 2 In 3.34
2 In 0.0000 0.2622 0.7500 x4  4 In 3.03, 2 Sm 3.34
3 Ge 0.0000 0.4452 0.2500 x4  2 Ge 2.72


No. 6
A relaxed ZnAgPbCl5 crystal. Source: Alexandria via LeMat-Bulk, functional PBE.

Summary:
Its formation energy from raw total energies is -0.952 eV per atom. The value obtained for the electronic total energy is -98.733 eV for the cell shown.

Cell lengths 9.7449, 11.0314, 10.3465 Å; angles 90.00, 117.91, 90.00 degrees
Last column: nearest neighbours and their distance in Å.
Space group C2/c (No. 15)
One atom of each set of equivalent atoms:
1 Zn 0.0000 0.0843 0.2500 x4  4 Cl 2.26-2.33
2 Ag 0.0000 0.4041 0.2500 x4  3 Cl 2.49-2.66
3 Pb 0.2500 0.2500 0.0000 x4  6 Cl 2.89-2.98
4 Cl 0.0000 0.3703 0.7500 x4  1 Ag 2.49
5 Cl 0.0072 0.2231 0.4227 x8  1 Zn 2.33
6 Cl 0.2197 0.0277 0.8408 x8  1 Zn 2.26


No. 7
A relaxed HfVN2 crystal. Source: Alexandria via LeMat-Bulk, functional PBE.

Summary:
Its formation energy from raw total energies is -1.118 eV per atom. The value obtained for the electronic total energy is -160.779 eV for the cell shown.

Cell lengths 4.6557, 4.6557, 9.5277 Å; angles 90.00, 90.00, 90.00 degrees
Last column: nearest neighbours and their distance in Å.
Space group I-42d (No. 122)
One atom of each set of equivalent atoms:
1 Hf 0.0000 0.0000 0.0000 x4  4 N 2.10
2 V 0.0000 0.0000 0.5000 x4  4 N 1.97
3 N 0.2253 0.2500 0.6250 x8  2 V 1.97, 2 Hf 2.10


No. 8
A relaxed SbWAu2 crystal. Source: Alexandria via LeMat-Bulk, functional PBE.

Summary:
Its formation energy from raw total energies is 0.420 eV per atom. The value obtained for the electronic total energy is -21.950 eV for the cell shown.

Cell lengths 3.4681, 3.4681, 6.2434 Å; angles 90.00, 90.00, 90.00 degrees
Last column: nearest neighbours and their distance in Å.
Space group P4mm (No. 99)
One atom of each set of equivalent atoms:
1 Sb 0.0000 0.0000 0.0000 x1  4 W 2.81, 5 Au 2.98-3.06
2 W 0.5000 0.5000 0.2206 x1  4 Sb 2.81, 5 Au 2.93-3.04
3 Au 0.0000 0.0000 0.4774 x1  4 Au 2.84, 4 W 2.93, 1 Sb 2.98
4 Au 0.5000 0.5000 0.7079 x1  4 Au 2.84, 1 W 3.04, 4 Sb 3.06


Number 1: magnetization 0.214 μB/atom. Number 2: magnetization 0.000 μB/atom. Number 3: magnetization 0.000 μB/atom. Number 4: magnetization 0.000 μB/atom. Number 5: magnetization 0.000 μB/atom. Number 6: magnetization 0.000 μB/atom. Number 7: magnetization 0.270 μB/atom. Number 8: magnetization 0.000 μB/atom.